Record 1
Computed, not measured: an optimized crystal structure of Li3BeF6 at the PBE level of DFT.

The structure belongs to space group C2/m (No. 12); the cell edges are 8.994, 4.990 and 4.807 Å and the angles 90.00°, 120.81° and 90.00°. The asymmetric unit holds Li at (0.000, 0.000, 0.000), Li at (0.246, 0.000, 0.669), Be at (0.000, 0.500, 0.500), F at (0.077, 0.265, 0.355) and F at (0.231, 0.500, 0.915).

The magnetic moment comes out at 0.89 μB per formula unit. For the distance to the lowest polymorph of the same formula, the calculation gives 0.00 kcal/mol of atoms. As for the calculated density: 2.58 Mg/m³.



Record 2
Computed, not measured: an optimized crystal structure of LiBe2F at the PBE level of DFT.

The structure belongs to space group I-42d (No. 122); the cell edges are 6.464, 6.464 and 4.092 Å and the angles 90.00°, 90.00° and 90.00°. The asymmetric unit holds Li at (0.000, 0.000, 0.000), Be at (0.185, 0.750, 0.625) and F at (0.000, 0.000, 0.500).

The magnetic moment comes out at 0.00 μB per formula unit. For the distance to the lowest polymorph of the same formula, the calculation gives 0.00 kcal/mol of atoms. As for the calculated density: 1.71 Mg/m³.